1.
VASP calculation (GGA-PBE) on a geometry-optimized CsBeTcOs structure.

```
CsBeTcOs
1.0
0.000 3.276 3.276
3.276 0.000 3.276
3.276 3.276 0.000
Tc Os Cs Be
1 1 1 1
Direct
0.250 0.250 0.250 Tc
0.000 0.000 0.000 Os
0.500 0.500 0.500 Cs
0.750 0.750 0.750 Be
```

Results
- Uncorrected energy: -4.667 eV/atom
- V: 17.6 Å³ per atom
- SG: F-43m
- Offset from the most stable computed form: 0.00 eV per formula unit

=====

2.
VASP calculation (GGA-PBE) on a geometry-optimized CsBePd structure.

```
CsBePd
1.0
0.000 3.540 3.540
3.540 0.000 3.540
3.540 3.540 0.000
Pd Be Cs
1 1 1
Direct
0.000 0.000 0.000 Pd
0.250 0.250 0.250 Be
0.750 0.750 0.750 Cs
```

Results
- Uncorrected energy: -2.260 eV/atom
- V: 29.6 Å³ per atom
- SG: F-43m
- Offset from the most stable computed form: 0.00 eV per formula unit

=====

3.
VASP calculation (GGA-PBE) on a geometry-optimized CsBeSbPd structure.

```
CsBeSbPd
1.0
-0.801 -5.132 0.794
-1.508 -1.723 4.729
-4.879 -1.820 0.700
Sb Pd Cs Be
1 1 1 1
Direct
0.000 0.000 0.000 Sb
0.500 0.500 0.500 Pd
0.250 0.250 0.250 Cs
0.750 0.750 0.750 Be
```

Results
- Uncorrected energy: -2.614 eV/atom
- V: 25.6 Å³ per atom
- SG: F-43m
- Offset from the most stable computed form: 0.87 eV per formula unit